[1]
Entry from Alexandria: U2GaAu after structural relaxation (PBE).

Properties
For the formation energy, the calculation gives -0.91 eV per formula unit.

The structure in CIF format:
```
data_U2GaAu
_chemical_formula_sum 'U8 Ga4 Au4'
_symmetry_space_group_name_H-M 'C m c m'
_symmetry_Int_Tables_number 63
_symmetry_space_group_name_Hall '-C 2c 2'
_cell_length_a 5.6909
_cell_length_b 11.4525
_cell_length_c 4.6362
_cell_angle_alpha 90.00
_cell_angle_beta 90.00
_cell_angle_gamma 90.00
loop_
_atom_site_label
_atom_site_fract_x
_atom_site_fract_y
_atom_site_fract_z
U1 0.2389 0.0550 0.2500
Ga1 0.0000 0.3162 0.2500
Au1 0.0000 0.2025 0.7500
```

=====

[2]
Entry from Alexandria: ErMgAu after structural relaxation (PBE).

Properties
For the formation energy, the calculation gives -1.52 eV per formula unit.

The structure in CIF format:
```
data_ErMgAu
_chemical_formula_sum 'Er1 Mg1 Au1'
_symmetry_space_group_name_H-M 'P -6 m 2'
_symmetry_Int_Tables_number 187
_symmetry_space_group_name_Hall 'P -6 2'
_cell_length_a 4.7141
_cell_length_b 4.7141
_cell_length_c 3.5167
_cell_angle_alpha 90.00
_cell_angle_beta 90.00
_cell_angle_gamma 120.00
loop_
_atom_site_label
_atom_site_fract_x
_atom_site_fract_y
_atom_site_fract_z
Er1 0.0000 0.0000 0.0000
Mg1 0.6667 0.3333 0.5000
Au1 0.3333 0.6667 0.5000
```

=====

[3]
Entry from Alexandria: Zn2CdTc after structural relaxation (PBE).

Properties
For the formation energy, the calculation gives 1.03 eV per formula unit.

The structure in CIF format:
```
data_Zn2CdTc
_chemical_formula_sum 'Zn4 Cd2 Tc2'
_symmetry_space_group_name_H-M 'I m m m'
_symmetry_Int_Tables_number 71
_symmetry_space_group_name_Hall '-I 2 2'
_cell_length_a 2.8777
_cell_length_b 4.8437
_cell_length_c 9.4128
_cell_angle_alpha 90.00
_cell_angle_beta 90.00
_cell_angle_gamma 90.00
loop_
_atom_site_label
_atom_site_fract_x
_atom_site_fract_y
_atom_site_fract_z
Zn1 0.0000 0.0000 0.2356
Cd1 0.0000 0.5000 0.0000
Tc1 0.0000 0.5000 0.5000
```

=====

[4]
Entry from Alexandria: Na2FeI6 after structural relaxation (PBE).

Properties
The value obtained for the formation energy from raw total energies is -566 meV per atom.

The structure in CIF format:
```
data_Na2FeI6
_chemical_formula_sum 'Na8 Fe4 I24'
_symmetry_space_group_name_H-M 'C 1 2/c 1'
_symmetry_Int_Tables_number 15
_cell_length_a 12.6313
_cell_length_b 20.2358
_cell_length_c 6.3727
_cell_angle_alpha 90.00
_cell_angle_beta 104.19
_cell_angle_gamma 90.00
loop_
_symmetry_equiv_pos_as_xyz
'x,y,z'
'-x,-y,-z'
'-x,y,-z+1/2'
'x,-y,z+1/2'
'x+1/2,y+1/2,z'
'-x+1/2,-y+1/2,-z'
'-x+1/2,y+1/2,-z+1/2'
'x+1/2,-y+1/2,z+1/2'
loop_
_atom_site_label
_atom_site_fract_x
_atom_site_fract_y
_atom_site_fract_z
Na1 0.1227 0.0814 0.0635
Fe1 0.0000 0.3163 0.7500
I1 0.1063 0.2483 0.0643
I2 0.1220 0.3965 0.6189
I3 0.1391 0.0765 0.5756
```